(1)
KPrIn6 | Alexandria via LeMat-Bulk | PBE | optimized geometry; raw total energy = -23.87 eV per cell; crystal system = orthorhombic; calculated volume = 28.80 Å³/atom; formation enthalpy at 0 K = -195 meV/atom
1.0
5.013 0.000 0.000
0.000 6.758 0.000
0.000 0.000 6.800
K Pr In
1 1 6
direct
0.000 0.000 0.000
0.500 0.500 0.223
0.000 0.268 0.466
0.000 0.500 0.891
0.000 0.732 0.466
0.500 0.000 0.351
0.500 0.251 0.751
0.500 0.749 0.751


(2)
K4Pr3InS8 | Alexandria via LeMat-Bulk | PBE | optimized geometry; raw total energy = -79.63 eV per cell; ΔE_f (raw) = -1571 meV/atom; crystal system = trigonal; calculated volume = 27.81 Å³/atom
1.0
4.160 2.402 7.422
-4.160 2.402 7.422
0.000 -4.803 7.422
K Pr In S
4 3 1 8
direct
0.000 0.000 0.000
0.000 0.500 0.500
0.500 0.000 0.500
0.500 0.500 0.000
0.000 0.000 0.500
0.000 0.500 0.000
0.500 0.000 0.000
0.500 0.500 0.500
0.237 0.237 0.237
0.249 0.728 0.728
0.272 0.272 0.751
0.272 0.751 0.272
0.728 0.249 0.728
0.728 0.728 0.249
0.751 0.272 0.272
0.763 0.763 0.763


(3)
K3Pr3InS8 | Alexandria via LeMat-Bulk | PBE | optimized geometry; raw total energy = -75.27 eV per cell; ΔE_f (raw) = -1459 meV/atom; crystal system = trigonal; calculated volume = 29.88 Å³/atom
1.0
4.148 2.395 7.518
-4.148 2.395 7.518
0.000 -4.790 7.518
K Pr In S
3 3 1 8
direct
0.000 0.500 0.500
0.500 0.000 0.500
0.500 0.500 0.000
0.000 0.000 0.500
0.000 0.500 0.000
0.500 0.000 0.000
0.500 0.500 0.500
0.236 0.236 0.236
0.251 0.724 0.724
0.276 0.276 0.749
0.276 0.749 0.276
0.724 0.251 0.724
0.724 0.724 0.251
0.749 0.276 0.276
0.764 0.764 0.764


(4)
K3Pr3InSe8 | Alexandria via LeMat-Bulk | PBE | optimized geometry; raw total energy = -69.16 eV per cell; ΔE_f (raw) = -1395 meV/atom; crystal system = monoclinic; calculated volume = 33.45 Å³/atom
1.0
7.426 -4.282 0.000
7.426 4.282 0.000
-4.955 0.000 7.891
K Pr In Se
3 3 1 8
direct
0.000 0.000 0.000
0.000 0.500 0.000
0.500 0.000 0.000
0.000 0.500 0.500
0.500 0.000 0.500
0.500 0.500 0.500
0.000 0.000 0.500
0.227 0.227 0.704
0.227 0.750 0.704
0.250 0.773 0.296
0.262 0.262 0.287
0.738 0.738 0.713
0.750 0.227 0.704
0.773 0.250 0.296
0.773 0.773 0.296


(5)
K4Pr3InSe8 | Alexandria via LeMat-Bulk | PBE | optimized geometry; raw total energy = -73.26 eV per cell; ΔE_f (raw) = -1495 meV/atom; crystal system = trigonal; calculated volume = 31.26 Å³/atom
1.0
4.322 2.495 7.732
-4.322 2.495 7.732
0.000 -4.990 7.732
K Pr In Se
4 3 1 8
direct
0.000 0.000 0.000
0.000 0.500 0.500
0.500 0.000 0.500
0.500 0.500 0.000
0.000 0.000 0.500
0.000 0.500 0.000
0.500 0.000 0.000
0.500 0.500 0.500
0.238 0.238 0.238
0.249 0.730 0.730
0.270 0.270 0.751
0.270 0.751 0.270
0.730 0.249 0.730
0.730 0.730 0.249
0.751 0.270 0.270
0.762 0.762 0.762


(6)
K3Pr2InSe6 | Alexandria via LeMat-Bulk | PBE | optimized geometry; raw total energy = -53.51 eV per cell; ΔE_f (raw) = -1418 meV/atom; crystal system = monoclinic; calculated volume = 30.97 Å³/atom
1.0
3.720 -6.448 0.000
3.720 6.448 0.000
-2.492 0.000 7.745
K Pr In Se
3 2 1 6
direct
0.000 0.000 0.000
0.332 0.668 0.000
0.668 0.332 0.000
0.166 0.834 0.500
0.834 0.166 0.500
0.500 0.500 0.500
0.111 0.431 0.291
0.251 0.251 0.708
0.431 0.111 0.291
0.569 0.889 0.709
0.749 0.749 0.292
0.889 0.569 0.709


(7)
K2PrInTe4 | Alexandria via LeMat-Bulk | PBE | optimized geometry; raw total energy = -59.82 eV per cell; ΔE_f (raw) = -954 meV/atom; crystal system = orthorhombic; calculated volume = 36.81 Å³/atom
1.0
-4.594 4.766 6.724
4.594 -4.766 6.724
4.594 4.766 -6.724
K Pr In Te
4 2 2 8
direct
0.000 0.000 0.000
0.500 0.000 0.000
0.500 0.000 0.500
0.500 0.500 0.500
0.000 0.500 0.500
0.500 0.500 0.000
0.000 0.000 0.500
0.000 0.500 0.000
0.204 0.742 0.462
0.220 0.258 0.962
0.238 0.255 0.517
0.238 0.721 0.983
0.762 0.279 0.017
0.762 0.745 0.483
0.780 0.742 0.038
0.796 0.258 0.538


(8)
K3Pr3InTe8 | Alexandria via LeMat-Bulk | PBE | optimized geometry; raw total energy = -61.95 eV per cell; ΔE_f (raw) = -1097 meV/atom; crystal system = monoclinic; calculated volume = 40.41 Å³/atom
1.0
7.849 -4.523 0.000
7.849 4.523 0.000
-5.237 0.000 8.537
K Pr In Te
3 3 1 8
direct
0.000 0.000 0.000
0.000 0.500 0.000
0.500 0.000 0.000
0.000 0.500 0.500
0.500 0.000 0.500
0.500 0.500 0.500
0.000 0.000 0.500
0.229 0.229 0.708
0.230 0.749 0.708
0.251 0.770 0.292
0.261 0.261 0.283
0.739 0.739 0.717
0.749 0.230 0.708
0.770 0.251 0.292
0.771 0.771 0.292


(9)
KPrTlIn | Alexandria via LeMat-Bulk | PBE | optimized geometry; raw total energy = -11.53 eV per cell; crystal system = cubic; calculated volume = 32.20 Å³/atom; formation enthalpy at 0 K = -136 meV/atom
1.0
0.000 4.008 4.008
4.008 0.000 4.008
4.008 4.008 0.000
K Pr Tl In
1 1 1 1
direct
0.000 0.000 0.000
0.500 0.500 0.500
0.250 0.250 0.250
0.750 0.750 0.750


(10)
K2InPt | Alexandria via LeMat-Bulk | PBE | optimized geometry; raw total energy = -10.45 eV per cell; crystal system = orthorhombic; calculated volume = 27.67 Å³/atom; formation enthalpy at 0 K = 132 meV/atom
1.0
3.205 0.000 0.000
0.000 5.223 0.000
0.000 0.000 6.610
K In Pt
2 1 1
direct
0.000 0.000 0.226
0.000 0.000 0.774
0.500 0.500 0.500
0.500 0.500 0.000


(11)
K3In5Pt3 | Alexandria via LeMat-Bulk | PBE | optimized geometry; raw total energy = -38.42 eV per cell; crystal system = hexagonal; calculated volume = 34.56 Å³/atom; formation enthalpy at 0 K = -301 meV/atom
1.0
8.335 0.000 0.000
-4.168 7.219 0.000
0.000 0.000 6.319
K In Pt
3 5 3
direct
0.000 0.343 0.000
0.343 0.000 0.000
0.657 0.657 0.000
0.000 0.734 0.500
0.266 0.266 0.500
0.333 0.667 0.500
0.667 0.333 0.500
0.734 0.000 0.500
0.000 0.359 0.500
0.359 0.000 0.500
0.641 0.641 0.500


(12)
KInPt2 | Alexandria via LeMat-Bulk | PBE | optimized geometry; raw total energy = -16.13 eV per cell; crystal system = orthorhombic; calculated volume = 23.04 Å³/atom; formation enthalpy at 0 K = -53 meV/atom
1.0
2.871 0.000 0.000
0.000 4.162 0.000
0.000 0.000 7.715
K In Pt
1 1 2
direct
0.000 0.000 0.000
0.500 0.500 0.644
0.000 0.000 0.442
0.500 0.500 0.288


> calculated volume of number 4 (K3Pr3InSe8)?

33.45 Å³/atom


> Look up the calculated volume of the twelfth one.

23.04 Å³/atom